1.
Computed, not measured: a relaxed structure of NdNiPt at the PBE-GGA level of DFT.

POSCAR file:
```
NdNiPt
1.0
3.7544 0.0000 0.0000
0.0000 3.7544 0.0000
0.0000 0.0000 5.5057
Nd Ni Pt
1 1 1
Direct
0.0000 0.0000 0.0000
0.5000 0.5000 0.0000
0.0000 0.0000 0.5000
```

E_form   2.39 eV/f.u.
Space-group type   No. 123
Raw total energy   -14.0 eV/f.u.
Total magnetic moment   0.1 μB per cell



2.
Computed, not measured: a relaxed structure of Nd2NiPt at the PBE-GGA level of DFT.

POSCAR file:
```
Nd2NiPt
1.0
4.4494 0.0000 0.0000
0.0000 1.9538 5.3420
0.0000 -1.9538 5.3420
Nd Ni Pt
2 1 1
Direct
0.0000 0.0000 0.0000
0.5000 0.2768 0.2768
0.5000 0.5560 0.5560
0.0000 0.7166 0.7166
```

E_form   -2.95 eV/f.u.
Space-group type   No. 38
Raw total energy   -24.1 eV/f.u.
Total magnetic moment   0.0 μB per cell



3.
Computed, not measured: a relaxed structure of NdNiPt at the PBE-GGA level of DFT.

POSCAR file:
```
NdNiPt
1.0
0.0000 3.1431 3.1431
3.1431 0.0000 3.1431
3.1431 3.1431 0.0000
Nd Ni Pt
1 1 1
Direct
0.0000 0.0000 0.0000
0.2500 0.2500 0.2500
0.5000 0.5000 0.5000
```

E_form   -1.47 eV/f.u.
Space-group type   No. 216
Raw total energy   -17.9 eV/f.u.
Total magnetic moment   0.0 μB per cell



- Which value of E_form does entry 3 give?
  -1.47 eV/f.u.



- Among the records above, which one has the highest E_form?
  number 1